# Rb2GaSb (PBE, relaxed)
data_Rb2GaSb
_space_group_name_H-M_alt 'F m -3 m'
_space_group_IT_number 225
_space_group_name_Hall '-F 4 2 3'
_cell_length_a 8.5603
_cell_length_b 8.5603
_cell_length_c 8.5603
_cell_angle_alpha 90.00
_cell_angle_beta 90.00
_cell_angle_gamma 90.00
loop_
_atom_site_label
_atom_site_type_symbol
_atom_site_fract_x
_atom_site_fract_y
_atom_site_fract_z
Rb1 Rb 0.2500 0.2500 0.2500
Ga1 Ga 0.0000 0.0000 0.0000
Sb1 Sb 0.0000 0.0000 0.5000
# formation energy (no corrections): -13 meV per atom
# VASP energy: -2.284 eV per atom